A relaxed Sr4SnN4 crystal. Source: the Alexandria database, functional PBEsol.

abc: 6.385 6.455 9.476
angles: 71.48 79.28 67.95
Fractional positions:
Sr 0.774 0.573 0.174
Sr 0.226 0.427 0.826
Sr 0.740 0.229 0.978
Sr 0.260 0.771 0.022
Sr 0.727 0.490 0.568
Sr 0.273 0.510 0.432
Sr 0.228 0.958 0.610
Sr 0.772 0.042 0.390
Sn 0.714 0.849 0.756
Sn 0.286 0.151 0.244
N 0.980 0.701 0.607
N 0.020 0.299 0.393
N 0.900 0.829 0.924
N 0.100 0.171 0.076
N 0.513 0.631 0.807
N 0.487 0.369 0.193
N 0.494 0.820 0.366
N 0.506 0.180 0.634

Summary:
Total magnetization = 0.000 μB/f.u.
Formation energy (no corrections) = -657 meV per atom
Volume = 342.3 Å³/cell
E_tot = -5.74 eV per atom

=====

A relaxed Ca2ReCl crystal. Source: the Alexandria database, functional PBEsol.

abc: 4.072 4.072 5.768
angles: 90.00 90.00 90.00
Fractional positions:
Re 0.500 0.500 0.875
Ca 0.000 0.000 0.875
Ca 0.500 0.500 0.375
Cl 0.000 0.000 0.375

Summary:
Total magnetization = 1.716 μB/f.u.
D(E_F) = 0.987 states/eV per atom
Excess energy over the best structure of this formula in the dataset = 0.373 eV per atom
Formation energy (no corrections) = 209 meV per atom
Volume = 95.6 Å³/cell
E_tot = -4.69 eV per atom

=====

A relaxed TlCuOs crystal. Source: the Alexandria database, functional PBEsol.

abc: 4.321 4.321 4.321
angles: 60.00 60.00 60.00
Fractional positions:
Cu 0.500 0.500 0.500
Os 0.250 0.250 0.250
Tl 0.000 0.000 0.000

Summary:
Total magnetization = 0.618 μB/f.u.
D(E_F) = 1.732 states/eV per atom
Volume = 57.1 Å³/cell
E_tot = -5.19 eV per atom

=====

A relaxed IrSIO2 crystal. Source: the Alexandria database, functional PBEsol.

abc: 3.767 3.767 5.393
angles: 90.00 90.00 90.00
Fractional positions:
I 0.000 0.000 0.000
S 0.500 0.500 0.500
Ir 0.000 0.000 0.500
O 0.000 0.500 0.000
O 0.500 0.000 0.000

Summary:
Total magnetization = 0.019 μB/f.u.
D(E_F) = 0.852 states/eV per atom
Formation energy (no corrections) = 499 meV per atom
Volume = 76.5 Å³/cell
E_tot = -4.80 eV per atom

=====

A relaxed LaFe2TeAu crystal. Source: the Alexandria database, functional PBEsol.

abc: 4.655 4.655 5.990
angles: 90.00 90.00 90.00
Fractional positions:
Te 0.000 0.000 0.000
Au 0.500 0.500 0.500
Fe 0.000 0.500 0.000
Fe 0.500 0.000 0.000
La 0.000 0.000 0.500

Summary:
Total magnetization = 4.643 μB/f.u.
D(E_F) = 1.332 states/eV per atom
Formation energy (no corrections) = 684 meV per atom
Volume = 129.8 Å³/cell
E_tot = -5.46 eV per atom

=====

A relaxed Be24Cr5 crystal. Source: the Alexandria database, functional PBEsol.

abc: 6.825 6.825 6.825
angles: 109.47 109.47 109.47
Fractional positions:
Be 0.628 0.817 0.628
Be 0.810 0.183 0.810
Be 0.190 0.000 0.372
Be 0.372 0.000 0.190
Be 0.817 0.628 0.628
Be 0.183 0.810 0.810
Be 0.000 0.372 0.190
Be 0.000 0.190 0.372
Be 0.628 0.628 0.817
Be 0.810 0.810 0.183
Be 0.372 0.190 0.000
Be 0.190 0.372 0.000
Be 0.614 0.300 0.614
Be 0.314 0.700 0.314
Be 0.686 0.000 0.386
Be 0.386 0.000 0.686
Be 0.300 0.614 0.614
Be 0.700 0.314 0.314
Be 0.000 0.386 0.686
Be 0.000 0.686 0.386
Be 0.614 0.614 0.300
Be 0.314 0.314 0.700
Be 0.386 0.686 0.000
Be 0.686 0.386 0.000
Cr 0.371 0.371 0.371
Cr 0.000 0.629 0.000
Cr 0.000 0.000 0.629
Cr 0.629 0.000 0.000
Cr 0.000 0.000 0.000

Summary:
Total magnetization = 0.796 μB/f.u.
D(E_F) = 0.465 states/eV per atom
Volume = 244.8 Å³/cell
E_tot = -5.13 eV per atom

=====

A relaxed ScReAs2 crystal. Source: the Alexandria database, functional PBEsol.

abc: 3.154 4.745 4.850
angles: 90.00 108.97 90.00
Fractional positions:
As 0.929 0.000 0.859
As 0.287 0.500 0.573
Re 0.208 0.000 0.415
Sc 0.560 0.500 0.120

Summary:
Total magnetization = 0.000 μB/f.u.
D(E_F) = 0.587 states/eV per atom
Volume = 68.6 Å³/cell
E_tot = -7.82 eV per atom

=====

A relaxed TaCo2Br crystal. Source: the Alexandria database, functional PBEsol.

abc: 2.955 4.407 4.927
angles: 116.57 107.45 90.00
Fractional positions:
Co 0.738 0.738 0.475
Co 0.262 0.262 0.525
Br 0.000 0.500 0.000
Ta 0.500 0.000 0.000

Summary:
Total magnetization = 0.001 μB/f.u.
D(E_F) = 1.075 states/eV per atom
Excess energy over the best structure of this formula in the dataset = 0.210 eV per atom
Formation energy (no corrections) = 522 meV per atom
Volume = 54.1 Å³/cell
E_tot = -6.95 eV per atom

=====

A relaxed TiCuGe crystal. Source: the Alexandria database, functional PBEsol.

abc: 3.712 4.883 5.072
angles: 90.00 90.00 112.34
Fractional positions:
Ge 0.607 0.213 0.250
Ge 0.393 0.787 0.750
Cu 0.000 0.000 0.500
Cu 0.000 0.000 0.000
Ti 0.300 0.600 0.250
Ti 0.700 0.400 0.750

Summary:
Total magnetization = 0.000 μB/f.u.
D(E_F) = 0.606 states/eV per atom
Volume = 85.0 Å³/cell
E_tot = -6.26 eV per atom

=====

A relaxed FeNiTe2 crystal. Source: the Alexandria database, functional PBEsol.

abc: 3.575 3.575 8.120
angles: 77.28 77.28 60.00
Fractional positions:
Ni 0.500 0.500 0.500
Te 0.896 0.896 0.312
Te 0.104 0.104 0.688
Fe 0.000 0.000 0.000

Summary:
Total magnetization = 2.598 μB/f.u.
D(E_F) = 1.157 states/eV per atom
Excess energy over the best structure of this formula in the dataset = 0.351 eV per atom
Formation energy (no corrections) = 392 meV per atom
Volume = 87.0 Å³/cell
E_tot = -5.15 eV per atom

=====

A relaxed K2Si4SbO11 crystal. Source: the Alexandria database, functional PBEsol.

abc: 6.436 10.823 15.479
angles: 90.00 100.97 90.00
Fractional positions:
K 0.714 0.513 0.928
K 0.714 0.987 0.428
K 0.286 0.487 0.072
K 0.286 0.013 0.572
K 0.712 0.887 0.916
K 0.712 0.613 0.416
K 0.288 0.113 0.084
K 0.288 0.387 0.584
Si 0.470 0.296 0.291
Si 0.470 0.204 0.791
Si 0.530 0.704 0.709
Si 0.530 0.796 0.209
Si 0.152 0.089 0.318
Si 0.152 0.411 0.818
Si 0.848 0.911 0.682
Si 0.848 0.589 0.182
Si 0.908 0.281 0.413
Si 0.908 0.219 0.913
Si 0.092 0.719 0.587
Si 0.092 0.781 0.087
Si 0.155 0.487 0.347
Si 0.155 0.013 0.847
Si 0.845 0.513 0.653
Si 0.845 0.987 0.153
Sb 0.727 0.289 0.100
Sb 0.727 0.211 0.600
Sb 0.273 0.711 0.900
Sb 0.273 0.789 0.400
O 0.288 0.402 0.291
O 0.288 0.098 0.791
O 0.712 0.598 0.709
O 0.712 0.902 0.209
O 0.670 0.329 0.370
O 0.670 0.171 0.870
O 0.330 0.671 0.630
O 0.330 0.829 0.130
O 0.528 0.297 0.195
O 0.528 0.203 0.695
O 0.472 0.703 0.805
O 0.472 0.797 0.305
O 0.372 0.160 0.310
O 0.372 0.340 0.810
O 0.628 0.840 0.690
O 0.628 0.660 0.190
O 0.186 0.978 0.388
O 0.186 0.522 0.888
O 0.814 0.022 0.612
O 0.814 0.478 0.112
O 0.056 0.042 0.217
O 0.056 0.458 0.717
O 0.944 0.958 0.783
O 0.944 0.542 0.283
O 0.974 0.184 0.342
O 0.974 0.316 0.842
O 0.026 0.816 0.658
O 0.026 0.684 0.158
O 0.939 0.220 0.510
O 0.939 0.280 0.010
O 0.061 0.780 0.490
O 0.061 0.720 0.990
O 0.062 0.403 0.420
O 0.062 0.097 0.920
O 0.938 0.597 0.580
O 0.938 0.903 0.080
O 0.298 0.594 0.400
O 0.298 0.906 0.900
O 0.702 0.406 0.600
O 0.702 0.094 0.100
O 0.510 0.686 0.988
O 0.510 0.814 0.488
O 0.490 0.314 0.012
O 0.490 0.186 0.512

Summary:
Total magnetization = 1.009 μB/f.u.
D(E_F) = 0.070 states/eV per atom
Formation energy (no corrections) = -2382 meV per atom
Volume = 1058.5 Å³/cell
E_tot = -7.25 eV per atom

=====

A relaxed Cr2CdNi crystal. Source: the Alexandria database, functional PBEsol.

abc: 2.563 2.563 7.841
angles: 90.00 90.00 90.01
Fractional positions:
Cd 0.500 0.500 0.000
Cr 0.000 0.000 0.282
Cr 0.000 0.000 0.718
Ni 0.500 0.500 0.500

Summary:
Total magnetization = 0.003 μB/f.u.
D(E_F) = 1.100 states/eV per atom
Volume = 51.5 Å³/cell
E_tot = -6.52 eV per atom

=====

The highest E_tot belongs to which entry?
Ca2ReCl

=====

Repeat the seventh record exactly.
A relaxed ScReAs2 crystal. Source: the Alexandria database, functional PBEsol.

abc: 3.154 4.745 4.850
angles: 90.00 108.97 90.00
Fractional positions:
As 0.929 0.000 0.859
As 0.287 0.500 0.573
Re 0.208 0.000 0.415
Sc 0.560 0.500 0.120

Summary:
Total magnetization = 0.000 μB/f.u.
D(E_F) = 0.587 states/eV per atom
Volume = 68.6 Å³/cell
E_tot = -7.82 eV per atom

=====

What is the formula in the fourth record?
IrSIO2

=====

Copy entry 7 word for word.
A relaxed ScReAs2 crystal. Source: the Alexandria database, functional PBEsol.

abc: 3.154 4.745 4.850
angles: 90.00 108.97 90.00
Fractional positions:
As 0.929 0.000 0.859
As 0.287 0.500 0.573
Re 0.208 0.000 0.415
Sc 0.560 0.500 0.120

Summary:
Total magnetization = 0.000 μB/f.u.
D(E_F) = 0.587 states/eV per atom
Volume = 68.6 Å³/cell
E_tot = -7.82 eV per atom